# LaNdC4

LaNdC4 at its PBEsol-relaxed geometry (meta-GGA SCAN, Alexandria).

Unit cell a=3.8377 b=3.8377 c=6.4747 alpha=90.00 beta=90.00 gamma=90.00
Space group P4/mmm (No. 123)
One atom of each set of equivalent atoms:
1 La 0.0000 0.0000 0.0000 [1 per cell]
2 Nd 0.5000 0.5000 0.5000 [1 per cell]
3 C 0.0000 0.0000 0.3999 [2 per cell]
4 C 0.5000 0.5000 0.1002 [2 per cell]

Calculated values
DOS at the Fermi energy: 1.8 states/eV per cell
VASP energy: -21.46 eV/atom
DFT formation energy: -26.8 kJ/mol of atoms
distance to the lowest polymorph of the same formula: 0.0057 eV/atom

# LaNdC4

LaNdC4 at its PBEsol-relaxed geometry (meta-GGA SCAN, Alexandria).

Unit cell a=7.5708 b=3.8349 c=7.4770 alpha=90.00 beta=118.68 gamma=90.00
Space group C2/m (No. 12)
One atom of each set of equivalent atoms:
1 La 0.0000 0.0000 0.0000 [2 per cell]
2 Nd 0.0000 0.5000 0.5000 [2 per cell]
3 C 0.1959 0.0000 0.7925 [4 per cell]
4 C 0.2024 0.5000 0.3063 [4 per cell]

Calculated values
DOS at the Fermi energy: 3.6 states/eV per cell
VASP energy: -21.46 eV/atom
DFT formation energy: -27.3 kJ/mol of atoms
distance to the lowest polymorph of the same formula: 0.0000 eV/atom

# La2Ni5C3

La2Ni5C3 at its PBEsol-relaxed geometry (meta-GGA SCAN, Alexandria).

Unit cell a=8.2222 b=8.2222 c=3.9573 alpha=90.00 beta=90.00 gamma=90.00
Space group P4/mbm (No. 127)
One atom of each set of equivalent atoms:
1 La 0.1618 0.3382 0.0000 [4 per cell]
2 Ni 0.0000 0.0000 0.0000 [2 per cell]
3 Ni 0.0758 0.7875 0.5000 [8 per cell]
4 C 0.0000 0.0000 0.5000 [2 per cell]
5 C 0.0586 0.5586 0.5000 [4 per cell]

Calculated values
DOS at the Fermi energy: 4.8 states/eV per cell
VASP energy: -20.05 eV/atom
DFT formation energy: -30.2 kJ/mol of atoms

# La2CO5

La2CO5 at its PBEsol-relaxed geometry (meta-GGA SCAN, Alexandria).

Unit cell a=12.1147 b=6.9962 c=16.3820 alpha=90.00 beta=104.26 gamma=90.00
Space group C2/c (No. 15)
One atom of each set of equivalent atoms:
1 La 0.0519 0.0874 0.4054 [8 per cell]
2 La 0.1135 0.4187 0.5967 [8 per cell]
3 La 0.2163 0.4192 0.9057 [8 per cell]
4 C 0.0000 0.1944 0.7500 [4 per cell]
5 C 0.1936 0.2222 0.2498 [8 per cell]
6 O 0.0000 0.0105 0.7500 [4 per cell]
7 O 0.0238 0.2833 0.8215 [8 per cell]
8 O 0.0666 0.4158 0.4476 [8 per cell]
9 O 0.1029 0.0818 0.5586 [8 per cell]
10 O 0.1244 0.2681 0.1789 [8 per cell]
11 O 0.1749 0.2655 0.3220 [8 per cell]
12 O 0.2149 0.3702 0.7515 [8 per cell]
13 O 0.2299 0.0843 0.9411 [8 per cell]

Calculated values
DOS at the Fermi energy: 0.0 states/eV per cell
VASP energy: -19.03 eV/atom
distance to the lowest polymorph of the same formula: 0.0000 eV/atom
formation energy without anion corrections: -3094.0 meV/atom

# La2CO

La2CO at its PBEsol-relaxed geometry (meta-GGA SCAN, Alexandria).

Unit cell a=6.3204 b=6.3204 c=6.3204 alpha=90.00 beta=90.00 gamma=90.00
Space group Fm-3m (No. 225)
One atom of each set of equivalent atoms:
1 La 0.2500 0.2500 0.2500 [8 per cell]
2 C 0.0000 0.0000 0.0000 [4 per cell]
3 O 0.0000 0.0000 0.5000 [4 per cell]

Calculated values
DOS at the Fermi energy: 9.7 states/eV per cell
VASP energy: -26.76 eV/atom
formation energy without anion corrections: -1121.7 meV/atom

# La2CO5

La2CO5 at its PBEsol-relaxed geometry (meta-GGA SCAN, Alexandria).

Unit cell a=15.9006 b=6.9335 c=4.0738 alpha=90.00 beta=90.00 gamma=90.00
Space group Ama2 (No. 40)
One atom of each set of equivalent atoms:
1 La 0.0951 0.1673 0.0000 [8 per cell]
2 C 0.2500 0.0362 0.6111 [4 per cell]
3 O 0.0565 0.3325 0.4989 [8 per cell]
4 O 0.1780 0.4940 0.9786 [8 per cell]
5 O 0.2500 0.1243 0.8882 [4 per cell]

Calculated values
DOS at the Fermi energy: 0.0 states/eV per cell
VASP energy: -19.00 eV/atom
distance to the lowest polymorph of the same formula: 0.0235 eV/atom
formation energy without anion corrections: -3070.5 meV/atom

Question: Among the records above, which one has the highest VASP energy?
Answer: number 6

Question: Which formula does entry 4 have?
Answer: La2CO5

Please write out number 5 again, unchanged.
# La2CO

La2CO at its PBEsol-relaxed geometry (meta-GGA SCAN, Alexandria).

Unit cell a=6.3204 b=6.3204 c=6.3204 alpha=90.00 beta=90.00 gamma=90.00
Space group Fm-3m (No. 225)
One atom of each set of equivalent atoms:
1 La 0.2500 0.2500 0.2500 [8 per cell]
2 C 0.0000 0.0000 0.0000 [4 per cell]
3 O 0.0000 0.0000 0.5000 [4 per cell]

Calculated values
DOS at the Fermi energy: 9.7 states/eV per cell
VASP energy: -26.76 eV/atom
formation energy without anion corrections: -1121.7 meV/atom